Record 1
Compound: Tb6Pm6Ho
Source: the Alexandria database
Functional: PBE
Structure: optimized geometry

Unit cell a=6.727 b=6.727 c=11.403 alpha=90.00 beta=90.00 gamma=119.99
Element x y z (fractional)
Tb: 0.500 0.000 0.247
Tb: 0.500 0.000 0.753
Tb: 0.000 0.500 0.247
Tb: 0.500 0.500 0.753
Tb: 0.500 0.500 0.247
Tb: 0.000 0.500 0.753
Pm: 0.333 0.667 0.500
Pm: 0.333 0.667 0.000
Pm: 0.000 0.000 0.346
Pm: 0.000 0.000 0.654
Pm: 0.667 0.333 0.500
Pm: 0.667 0.333 0.000
Ho: 0.000 0.000 0.000

Spin magnetization, Bohr magnetons per cell: 0.01

***

Record 2
Compound: Tb2Pm5Ho5
Source: the Alexandria database
Functional: PBE
Structure: optimized geometry

Unit cell a=5.063 b=8.013 c=10.775 alpha=72.75 beta=76.41 gamma=71.59
Element x y z (fractional)
Tb: 0.083 0.582 0.251
Tb: 0.917 0.418 0.749
Pm: 0.500 0.500 0.500
Pm: 0.334 0.333 0.999
Pm: 0.666 0.667 0.001
Pm: 0.416 0.918 0.251
Pm: 0.584 0.082 0.749
Ho: 0.251 0.750 0.748
Ho: 0.832 0.835 0.501
Ho: 0.168 0.165 0.499
Ho: 0.000 0.000 0.000
Ho: 0.749 0.250 0.252

Spin magnetization, Bohr magnetons per cell: 0.00

***

Record 3
Compound: Tb2Pm3Ho7
Source: the Alexandria database
Functional: PBE
Structure: optimized geometry

Unit cell a=3.523 b=6.330 c=17.937 alpha=75.69 beta=90.00 gamma=90.00
Element x y z (fractional)
Tb: 0.500 0.383 0.674
Tb: 0.500 0.617 0.326
Ho: 0.000 0.437 0.835
Ho: 0.500 0.942 0.834
Ho: 0.500 0.058 0.166
Ho: 0.500 0.246 0.501
Ho: 0.500 0.754 0.499
Ho: 0.000 0.000 0.000
Ho: 0.000 0.563 0.165
Pm: 0.500 0.500 0.000
Pm: 0.000 0.111 0.341
Pm: 0.000 0.889 0.659

Spin magnetization, Bohr magnetons per cell: 0.00
E above lowest polymorph, eV per atom: 0.000

***

Record 4
Compound: Tb7PmHo12
Source: the Alexandria database
Functional: PBE
Structure: optimized geometry

Unit cell a=8.662 b=8.662 c=8.662 alpha=95.14 beta=95.14 gamma=95.14
Element x y z (fractional)
Ho: 0.585 0.522 0.853
Ho: 0.188 0.749 0.318
Ho: 0.478 0.147 0.415
Ho: 0.749 0.318 0.188
Ho: 0.853 0.585 0.522
Ho: 0.251 0.682 0.812
Ho: 0.415 0.478 0.147
Ho: 0.682 0.812 0.251
Ho: 0.522 0.853 0.585
Ho: 0.318 0.188 0.749
Ho: 0.147 0.415 0.478
Ho: 0.812 0.251 0.682
Tb: 0.083 0.353 0.018
Tb: 0.647 0.982 0.917
Tb: 0.500 0.500 0.500
Tb: 0.353 0.018 0.083
Tb: 0.917 0.647 0.982
Tb: 0.982 0.917 0.647
Tb: 0.018 0.083 0.353
Pm: 0.000 0.000 0.000

Spin magnetization, Bohr magnetons per cell: 0.00
E above lowest polymorph, eV per atom: 0.000

***

Record 5
Compound: TbPm2Ho8
Source: the Alexandria database
Functional: PBE
Structure: optimized geometry

Unit cell a=5.018 b=7.941 c=9.391 alpha=104.70 beta=105.50 gamma=90.00
Element x y z (fractional)
Ho: 0.045 0.728 0.089
Ho: 0.410 0.546 0.820
Ho: 0.135 0.179 0.271
Ho: 0.865 0.821 0.729
Ho: 0.955 0.272 0.911
Ho: 0.681 0.908 0.363
Ho: 0.590 0.454 0.180
Ho: 0.319 0.092 0.637
Pm: 0.227 0.637 0.454
Pm: 0.773 0.363 0.546
Tb: 0.500 0.000 0.000

Spin magnetization, Bohr magnetons per cell: 0.00
E above lowest polymorph, eV per atom: 0.000

***

Record 6
Compound: TbPm6Ho8
Source: the Alexandria database
Functional: PBE
Structure: optimized geometry

Unit cell a=9.082 b=9.082 c=8.682 alpha=58.47 beta=58.47 gamma=60.00
Element x y z (fractional)
Ho: 0.888 0.253 0.577
Ho: 0.423 0.423 0.730
Ho: 0.253 0.281 0.577
Ho: 0.747 0.719 0.423
Ho: 0.719 0.112 0.423
Ho: 0.112 0.747 0.423
Ho: 0.577 0.577 0.270
Ho: 0.281 0.888 0.577
Pm: 0.462 0.895 0.871
Pm: 0.895 0.773 0.871
Pm: 0.773 0.462 0.871
Pm: 0.227 0.538 0.129
Pm: 0.105 0.227 0.129
Pm: 0.538 0.105 0.129
Tb: 0.000 0.000 0.000

Spin magnetization, Bohr magnetons per cell: 0.00

***

no.,ΔH_f (0 K) (kJ/mol of formula units),E_tot (eV per atom)
1,354,-4.3994
2,20,-4.6414
3,98,-4.5453
4,575,-4.3067
5,21,-4.5941
6,177,-4.5279